--- i ---
The following is a DFT calculation (PBE) of a relaxed structure of ZnGaAg.

a b c (Å): 6.1168 6.1168 6.1168
angles (deg): 90.00 90.00 90.00
Closest atoms and distances in Å follow each position.
Space group F-43m (No. 216)
One atom of each set of equivalent atoms:
Zn: 0.0000 0.0000 0.0000  4 Ga 2.65
Ga: 0.2500 0.2500 0.7500  4 Ag 2.65, 4 Zn 2.65
Ag: 0.0000 0.0000 0.5000  4 Ga 2.65



--- ii ---
The following is a DFT calculation (PBE) of a relaxed structure of ZnGaAg.

a b c (Å): 6.1424 6.1424 6.1424
angles (deg): 90.00 90.00 90.00
Closest atoms and distances in Å follow each position.
Space group F-43m (No. 216)
One atom of each set of equivalent atoms:
Zn: 0.0000 0.0000 0.0000  4 Ag 2.66
Ga: 0.0000 0.0000 0.5000  4 Ag 2.66
Ag: 0.2500 0.2500 0.7500  4 Zn 2.66, 4 Ga 2.66



Most stable pick: ii. Distance to second place: 14 meV per atom.



--- i ---
The following is a DFT calculation (PBE) of a relaxed structure of Zr2GaAg2.

Summary:
- Total magnetic moment: 0.038 Bohr magnetons per cell

a b c (Å): 4.1856 4.1856 12.9581
angles (deg): 90.00 90.00 90.00
Closest atoms and distances in Å follow each position.
Space group I4/mmm (No. 139)
One atom of each set of equivalent atoms:
Zr: 0.0000 0.5000 0.2500  4 Ag 2.87, 4 Zr 2.96
Ga: 0.0000 0.0000 0.0000  8 Ag 3.22
Ag: 0.0000 0.0000 0.4014  1 Ag 2.56



--- ii ---
The following is a DFT calculation (PBE) of a relaxed structure of Zr2GaAg2.

Summary:
- Total magnetic moment: 2.451 Bohr magnetons per cell

a b c (Å): 3.7805 3.7805 14.7056
angles (deg): 90.00 90.00 90.00
Closest atoms and distances in Å follow each position.
Space group I4/mmm (No. 139)
One atom of each set of equivalent atoms:
Zr: 0.0000 0.0000 0.0921  1 Zr 2.71, 4 Ag 2.99, 4 Ga 3.00
Ga: 0.0000 0.0000 0.5000  8 Zr 3.00
Ag: 0.0000 0.5000 0.2500  4 Ag 2.67



Most stable pick: ii. Distance to second place: 165 meV per atom.



--- i ---
The following is a DFT calculation (PBE) of a relaxed structure of GdAgGeTe3.

Summary:
- Total magnetic moment: 0.005 Bohr magnetons per cell

a b c (Å): 4.2141 14.5304 11.2141
angles (deg): 90.00 90.00 90.00
Closest atoms and distances in Å follow each position.
Space group Cmcm (No. 63)
One atom of each set of equivalent atoms:
Gd: 0.0000 0.0000 0.0000  6 Te 3.13-3.21
Ag: 0.0000 0.4788 0.2500  4 Te 2.80-2.82
Ge: 0.0000 0.2158 0.7500  6 Te 3.10-3.32
Te: 0.0000 0.1076 0.2500  2 Ag 2.82
Te: 0.0000 0.3487 0.0655  1 Ag 2.80, 2 Ge 3.10, 2 Gd 3.13



--- ii ---
The following is a DFT calculation (PBE) of a relaxed structure of GdAgGeTe3.

Summary:
- Total magnetic moment: 0.005 Bohr magnetons per cell

a b c (Å): 12.3526 4.4706 12.5661
angles (deg): 90.00 90.00 90.00
Closest atoms and distances in Å follow each position.
Space group Pnma (No. 62)
One atom of each set of equivalent atoms:
Gd: 0.0221 0.2500 0.1872  6 Te 3.08-3.30
Ag: 0.2413 0.7500 0.2875  4 Te 2.75-2.80
Ge: 0.1614 0.2500 0.4990  5 Te 2.88-3.13
Te: 0.0347 0.7500 0.3770  1 Ag 2.79, 1 Ge 2.88
Te: 0.0949 0.2500 0.9360  1 Ag 2.75, 2 Gd 3.08
Te: 0.2124 0.7500 0.6611  2 Ag 2.80, 2 Ge 3.09



Most stable pick: i. Distance to second place: 25 meV per atom.